1.
CsBeS2Cl | PBE | optimized geometry

extended XYZ file:
```
5
Lattice="4.379 0.000 0.000 0.000 4.379 0.000 0.000 0.000 6.598" Properties=species:S:1:pos:R:3 pbc="T T T"
Cs 0.000 0.000 0.000
Be 2.189 2.189 3.299
S 0.000 2.189 3.299
S 2.189 0.000 3.299
Cl 2.189 2.189 0.000
```

Calculated values
Volume   25.302 Å³/atom
Space group   P4/mmm, No. 123
VASP energy   -0.126 Ha/atom
Offset from the most stable computed form   0.000 eV/atom
Energy relative to the elements, uncorrected   -0.49 eV per atom


2.
CsBe2SbCl8 | PBE | optimized geometry

extended XYZ file:
```
12
Lattice="3.123 1.803 10.331 -3.123 1.803 10.331 0.000 -3.606 10.331" Properties=species:S:1:pos:R:3 pbc="T T T"
Cs 0.000 0.000 0.000
Be 0.000 0.000 7.462
Be 0.000 0.000 23.529
Sb 0.000 0.000 15.496
Cl -2.162 -0.104 13.890
Cl -0.992 -1.924 17.102
Cl 0.000 0.000 9.419
Cl 1.171 -1.821 13.890
Cl -1.171 1.821 17.102
Cl 0.000 0.000 21.573
Cl 0.992 1.924 13.890
Cl 2.162 0.104 17.102
```

Calculated values
Volume   29.082 Å³/atom
Space group   R-3, No. 148
VASP energy   -0.132 Ha/atom
Energy relative to the elements, uncorrected   -1.33 eV per atom


3.
CsBeSbCl6 | PBE | optimized geometry

extended XYZ file:
```
9
Lattice="6.591 0.000 0.000 -3.296 5.708 0.000 0.000 0.000 7.767" Properties=species:S:1:pos:R:3 pbc="T T T"
Cs 0.000 0.000 0.000
Be 3.296 1.903 3.884
Sb 0.000 3.805 3.884
Cl 2.456 0.237 2.506
Cl 1.433 2.008 5.262
Cl 4.135 0.237 5.262
Cl 2.273 3.463 2.506
Cl 5.158 2.008 2.506
Cl 4.318 3.463 5.262
```

Calculated values
Volume   32.471 Å³/atom
Space group   P312, No. 149
VASP energy   -0.125 Ha/atom
Energy relative to the elements, uncorrected   -1.20 eV per atom


4.
CsScBeCl6 | PBE | optimized geometry

extended XYZ file:
```
9
Lattice="6.311 0.000 0.000 -3.155 5.465 0.000 0.000 0.000 7.870" Properties=species:S:1:pos:R:3 pbc="T T T"
Cs 0.000 0.000 0.000
Sc 3.155 1.822 3.935
Be 0.000 3.643 3.935
Cl -1.076 2.108 5.295
Cl -1.868 3.480 2.575
Cl 1.076 2.108 2.575
Cl -0.792 5.343 5.295
Cl 1.868 3.480 5.295
Cl 0.792 5.343 2.575
```

Calculated values
Volume   30.157 Å³/atom
Space group   P312, No. 149
VASP energy   -0.155 Ha/atom
Energy relative to the elements, uncorrected   -1.77 eV per atom